[1]
PmEr2Sn | PBE | optimized geometry

a b c (Å): 4.701 4.622 11.427
angles (deg): 101.60 90.00 90.00
Fractional coordinates of all 8 atoms:
Pm 0.250 0.308 0.614
Pm 0.750 0.692 0.386
Er 0.750 0.443 0.885
Er 0.250 0.557 0.115
Er 0.250 0.937 0.873
Er 0.750 0.063 0.127
Sn 0.750 0.839 0.674
Sn 0.250 0.161 0.326

Results
Symmetry: P2_1/m, No. 11
Theoretical density in g cm⁻³: 8.2
E_form in eV per atom: -0.42

=====

[2]
CaTi2RhW | PBE | optimized geometry

a b c (Å): 4.779 4.779 4.890
angles (deg): 90.00 90.00 90.00
Site moments in Bohr magnetons follow the coordinates.
Fractional coordinates of all 5 atoms:
Ca 0.500 0.500 0.500  -0.01
Rh 0.000 0.000 0.000  0.00
W 0.000 0.000 0.500  0.31
Ti 0.000 0.500 0.000  -0.23
Ti 0.500 0.000 0.000  -0.23

Results
Symmetry: P4/mmm, No. 123
Theoretical density in g cm⁻³: 6.3
E_form in eV per atom: 0.65

=====

[3]
CaGaH2Br | PBE | optimized geometry

a b c (Å): 4.342 5.742 4.342
angles (deg): 90.00 90.00 90.00
Fractional coordinates of all 5 atoms:
H 0.000 0.000 0.500
H 0.500 0.000 0.000
Ca 0.000 0.500 0.000
Ga 0.500 0.500 0.500
Br 0.000 0.000 0.000

Results
Symmetry: P4/mmm, No. 123
Theoretical density in g cm⁻³: 2.9
Calculated total energy in eV per atom: -2.220